The following is a DFT calculation (PBE) of an optimized crystal structure of Th6Sb3TeAs2.

Cell: 19.2260 4.4061 8.8599 Å, 90.00 102.98 90.00°
Space group C2/m (No. 12)
Inequivalent atoms, fractional coordinates:
Th  0.0098  0.0000  0.2561 (multiplicity 4)
Th  0.1701  0.5000  0.1052 (multiplicity 4)
Th  0.1722  0.5000  0.5707 (multiplicity 4)
Sb  0.0000  0.5000  0.5000 (multiplicity 2)
Sb  0.1617  0.0000  0.8334 (multiplicity 4)
Te  0.0000  0.5000  0.0000 (multiplicity 2)
As  0.1689  0.0000  0.3361 (multiplicity 4)

## Properties
E_tot: -6.86 eV per atom
density of states at the Fermi level: 8.67 states/eV/f.u.


The following is a DFT calculation (PBE) of an optimized crystal structure of TbCeZn.

Cell: 4.9922 4.9922 3.4647 Å, 90.00 90.00 120.00°
Space group P3m1 (No. 156)
Inequivalent atoms, fractional coordinates:
Tb  0.0000  0.0000  0.0000 (multiplicity 1)
Ce  0.6667  0.3333  0.5978 (multiplicity 1)
Zn  0.3333  0.6667  0.2554 (multiplicity 1)

## Properties
polymorph energy (0 for the lowest one): 152 meV per atom
density of states at the Fermi level: 5.13 states/eV/f.u.


The following is a DFT calculation (PBE) of an optimized crystal structure of Ho2Er4Tm5.

Cell: 4.9394 6.0526 12.5845 Å, 76.17 89.95 65.92°
Space group P-1 (No. 2)
Inequivalent atoms, fractional coordinates:
Ho  0.0453  0.4094  0.3178 (multiplicity 2)
Er  0.2271  0.0457  0.5911 (multiplicity 2)
Er  0.4088  0.6824  0.8639 (multiplicity 2)
Tm  0.1364  0.2272  0.9548 (multiplicity 2)
Tm  0.3184  0.8632  0.2269 (multiplicity 2)
Tm  0.5000  0.5000  0.5000 (multiplicity 1)

## Properties
polymorph energy (0 for the lowest one): 0 meV per atom
density of states at the Fermi level: 15.10 states/eV/f.u.


The following is a DFT calculation (PBE) of an optimized crystal structure of Y2CoAu.

Cell: 4.1394 4.1394 9.8956 Å, 90.00 90.00 90.00°
Space group I-4m2 (No. 119)
Inequivalent atoms, fractional coordinates:
Y  0.0000  0.0000  0.0000 (multiplicity 2)
Y  0.0000  0.5000  0.2500 (multiplicity 2)
Co  0.0000  0.0000  0.5000 (multiplicity 2)
Au  0.0000  0.5000  0.7500 (multiplicity 2)

## Properties
E_tot: -6.04 eV per atom
density of states at the Fermi level: 3.97 states/eV/f.u.